Material: HfTl2VO6
Method: DFT, PBE+U
State: relaxed

Cell: 5.437 6.403 6.403 Å, 120.00 90.00 90.00°
Element x y z (fractional)
V (0.000, 0.000, 0.000)
Tl (0.961, 0.333, 0.667)
Tl (0.039, 0.667, 0.333)
O (0.775, 0.734, 0.867)
O (0.775, 0.133, 0.867)
O (0.775, 0.133, 0.266)
O (0.225, 0.867, 0.133)
O (0.225, 0.867, 0.734)
O (0.225, 0.266, 0.133)
Hf (0.500, 0.000, 0.000)

Properties
Calculated density in g/cm3: 6.3
Magnetic moment in μB per atom: 0.000
Uncorrected energy in eV per atom: -6.862
Crystal system: trigonal